Material: PRuIO2
Method: DFT, GGA-PBE
State: optimized geometry

polymorph energy (0 for the lowest one)	89.0	kJ per mole of atoms
symmetry	P4/mmm, No. 123

Lattice parameters (Å, degrees): 3.8648 3.8648 5.7908 90.00 90.00 90.00
Site moments in Bohr magnetons follow the coordinates.
Fractional positions:
I: 0.0000 0.0000 0.0000  -0.03
Ru: 0.5000 0.5000 0.5000  1.91
O: 0.0000 0.5000 0.0000  0.01
O: 0.5000 0.0000 0.0000  0.01
P: 0.0000 0.0000 0.5000  0.00


Material: P2RuIO
Method: DFT, GGA-PBE
State: optimized geometry

polymorph energy (0 for the lowest one)	115.3	kJ per mole of atoms
symmetry	P4/mmm, No. 123

Lattice parameters (Å, degrees): 5.0763 5.0763 3.8005 90.00 90.00 90.00
Site moments in Bohr magnetons follow the coordinates.
Fractional positions:
I: 0.0000 0.0000 0.0000  0.00
Ru: 0.5000 0.5000 0.5000  1.78
O: 0.0000 0.0000 0.5000  0.00
P: 0.0000 0.5000 0.0000  -0.07
P: 0.5000 0.0000 0.0000  -0.07


Material: PRuIO2
Method: DFT, GGA-PBE
State: optimized geometry

polymorph energy (0 for the lowest one)	41.1	kJ per mole of atoms
symmetry	P4/mmm, No. 123

Lattice parameters (Å, degrees): 3.6203 3.6203 6.2012 90.00 90.00 90.00
Site moments in Bohr magnetons follow the coordinates.
Fractional positions:
I: 0.0000 0.0000 0.5000  0.02
Ru: 0.5000 0.5000 0.5000  1.16
O: 0.0000 0.5000 0.0000  0.04
O: 0.5000 0.0000 0.0000  0.04
P: 0.0000 0.0000 0.0000  0.01


Material: PRuI2O
Method: DFT, GGA-PBE
State: optimized geometry

polymorph energy (0 for the lowest one)	16.9	kJ per mole of atoms
symmetry	P4/mmm, No. 123

Lattice parameters (Å, degrees): 5.3688 5.3688 3.4313 90.00 90.00 90.00
Site moments in Bohr magnetons follow the coordinates.
Fractional positions:
I: 0.0000 0.5000 0.0000  0.01
I: 0.5000 0.0000 0.0000  0.01
Ru: 0.5000 0.5000 0.5000  0.48
O: 0.0000 0.0000 0.5000  0.00
P: 0.0000 0.0000 0.0000  -0.01


Material: PRuI2O
Method: DFT, GGA-PBE
State: optimized geometry

polymorph energy (0 for the lowest one)	0.0	kJ per mole of atoms
symmetry	P4/mmm, No. 123

Lattice parameters (Å, degrees): 5.4684 5.4684 3.7255 90.00 90.00 90.00
Fractional positions:
I: 0.0000 0.5000 0.0000
I: 0.5000 0.0000 0.0000
Ru: 0.0000 0.0000 0.0000
O: 0.0000 0.0000 0.5000
P: 0.5000 0.5000 0.5000


Material: P2RuIO
Method: DFT, GGA-PBE
State: optimized geometry

polymorph energy (0 for the lowest one)	200.6	kJ per mole of atoms
symmetry	P4/mmm, No. 123

Lattice parameters (Å, degrees): 5.1476 4.9208 5.1476 90.00 90.00 90.00
Site moments in Bohr magnetons follow the coordinates.
Fractional positions:
I: 0.0000 0.0000 0.0000  -0.02
Ru: 0.0000 0.5000 0.0000  1.25
O: 0.5000 0.5000 0.5000  0.12
P: 0.0000 0.0000 0.5000  0.01
P: 0.5000 0.0000 0.0000  0.04


Ordered raw total energy results: -22.6 -19.6 -25.0 -20.3 -21.2 -15.1; unit eV/cell.